Below is a relaxed structure of Th2BeSi4Ni3, with properties calculated at the PBE level.

```
data_Th2BeSi4Ni3
_chemical_formula_sum 'Th2 Be1 Si4 Ni3'
_symmetry_space_group_name_H-M 'P -4 m 2'
_symmetry_Int_Tables_number 115
_cell_length_a 4.0548
_cell_length_b 4.0548
_cell_length_c 9.5548
_cell_angle_alpha 90.00
_cell_angle_beta 90.00
_cell_angle_gamma 90.00
loop_
_symmetry_equiv_pos_as_xyz
'x,y,z'
'y,-x,-z'
'-x,-y,z'
'-y,x,-z'
'-x,y,z'
'-y,-x,-z'
'x,-y,z'
'y,x,-z'
loop_
_atom_site_label
_atom_site_type_symbol
_atom_site_fract_x
_atom_site_fract_y
_atom_site_fract_z
Th1 Th 0.0000 0.5000 0.2480
Be1 Be 0.5000 0.5000 0.0000
Si1 Si 0.0000 0.0000 0.5000
Si2 Si 0.0000 0.5000 0.8720
Si3 Si 0.5000 0.5000 0.5000
Ni1 Ni 0.0000 0.0000 0.0000
Ni2 Ni 0.0000 0.5000 0.6222
```

Calculated values
D(E_F) = 0.372 states/eV/atom
Calculated volume = 157.1 Å³ per cell
Raw total energy = -65.47 eV/cell